1.
A geometry-optimized Pr3Zn8Ag3 structure, computed with PBE.

The formation enthalpy at 0 K comes out at -0.32 eV/atom. The space-group type is Immm.

a b c (Å): 8.466 8.466 8.466
angles (deg): 148.92 116.10 72.76
Fractional coordinates of all 14 atoms:
Pr 0.000 0.000 0.000
Pr 0.300 0.300 0.000
Pr 0.700 0.700 0.000
Zn 0.028 0.668 0.360
Zn 0.142 0.863 0.280
Zn 0.308 0.668 0.640
Zn 0.417 0.137 0.280
Zn 0.583 0.863 0.720
Zn 0.692 0.332 0.360
Zn 0.858 0.137 0.720
Zn 0.972 0.332 0.640
Ag 0.293 0.500 0.793
Ag 0.500 0.000 0.500
Ag 0.707 0.500 0.207


2.
A geometry-optimized NdHo2Al7Cu2 structure, computed with PBE.

The space-group type is R-3m.

a b c (Å): 9.096 9.096 9.096
angles (deg): 35.26 35.26 35.26
Fractional coordinates of all 12 atoms:
Nd 0.000 0.000 0.000
Ho 0.142 0.142 0.142
Ho 0.858 0.858 0.858
Al 0.073 0.583 0.583
Al 0.417 0.417 0.927
Al 0.417 0.927 0.417
Al 0.500 0.500 0.500
Al 0.583 0.073 0.583
Al 0.583 0.583 0.073
Al 0.927 0.417 0.417
Cu 0.335 0.335 0.335
Cu 0.665 0.665 0.665


3.
A geometry-optimized AcHgAs structure, computed with PBE.

The space-group type is F-43m.

a b c (Å): 7.230 7.230 7.230
angles (deg): 90.00 90.00 90.00
Fractional coordinates of all 12 atoms:
Ac 0.000 0.000 0.000
Ac 0.000 0.500 0.500
Ac 0.500 0.000 0.500
Ac 0.500 0.500 0.000
Hg 0.250 0.250 0.250
Hg 0.250 0.750 0.750
Hg 0.750 0.250 0.750
Hg 0.750 0.750 0.250
As 0.000 0.000 0.500
As 0.000 0.500 0.000
As 0.500 0.000 0.000
As 0.500 0.500 0.500


4.
A geometry-optimized LiLu2Pt structure, computed with PBE.

The space-group type is P6_3/mmc.

a b c (Å): 4.955 4.955 8.253
angles (deg): 90.00 90.00 120.00
Fractional coordinates of all 8 atoms:
Li 0.000 0.000 0.000
Li 0.000 0.000 0.500
Lu 0.333 0.667 0.083
Lu 0.333 0.667 0.417
Lu 0.667 0.333 0.583
Lu 0.667 0.333 0.917
Pt 0.333 0.667 0.750
Pt 0.667 0.333 0.250


5.
A geometry-optimized DyYAu6 structure, computed with PBE.

The formation enthalpy at 0 K comes out at -0.72 eV/atom. The space-group type is Pmm2.

a b c (Å): 5.037 6.185 5.128
angles (deg): 90.00 90.00 90.00
Fractional coordinates of all 8 atoms:
Dy 0.000 0.000 0.000
Y 0.500 0.500 0.310
Au 0.000 0.257 0.495
Au 0.000 0.500 0.987
Au 0.000 0.743 0.495
Au 0.500 0.000 0.323
Au 0.500 0.242 0.815
Au 0.500 0.758 0.815


6.
A geometry-optimized GeAs2Au structure, computed with PBE.

The space-group type is F-43m.

a b c (Å): 6.741 6.741 6.741
angles (deg): 90.00 90.00 90.00
Fractional coordinates of all 16 atoms:
Ge 0.000 0.000 0.000
Ge 0.000 0.500 0.500
Ge 0.500 0.000 0.500
Ge 0.500 0.500 0.000
As 0.000 0.000 0.500
As 0.000 0.500 0.000
As 0.250 0.250 0.750
As 0.250 0.750 0.250
As 0.500 0.000 0.000
As 0.500 0.500 0.500
As 0.750 0.250 0.250
As 0.750 0.750 0.750
Au 0.250 0.250 0.250
Au 0.250 0.750 0.750
Au 0.750 0.250 0.750
Au 0.750 0.750 0.250


7.
A geometry-optimized BaTmO3 structure, computed with PBE.

The space-group type is R-3.

a b c (Å): 6.484 6.484 6.484
angles (deg): 55.93 55.93 55.93
Fractional coordinates of all 10 atoms:
Ba 0.128 0.128 0.128
Ba 0.872 0.872 0.872
Tm 0.346 0.346 0.346
Tm 0.654 0.654 0.654
O 0.051 0.488 0.682
O 0.318 0.949 0.512
O 0.488 0.682 0.051
O 0.512 0.318 0.949
O 0.682 0.051 0.488
O 0.949 0.512 0.318


8.
A geometry-optimized CsNdMgSe3 structure, computed with PBE.

The space-group type is Cmcm.

a b c (Å): 8.329 8.329 11.543
angles (deg): 90.00 90.00 149.53
Fractional coordinates of all 12 atoms:
Cs 0.242 0.758 0.750
Cs 0.758 0.242 0.250
Nd 0.500 0.500 0.000
Nd 0.500 0.500 0.500
Mg 0.037 0.963 0.250
Mg 0.963 0.037 0.750
Se 0.119 0.881 0.061
Se 0.119 0.881 0.439
Se 0.444 0.556 0.250
Se 0.556 0.444 0.750
Se 0.881 0.119 0.561
Se 0.881 0.119 0.939


9.
A geometry-optimized LaPrSb4 structure, computed with PBE.

The space-group type is Amm2.

a b c (Å): 4.456 4.529 17.524
angles (deg): 90.00 90.00 90.00
Fractional coordinates of all 12 atoms:
La 0.000 0.000 0.000
La 0.000 0.500 0.500
Pr 0.500 0.000 0.790
Pr 0.500 0.500 0.290
Sb 0.000 0.000 0.330
Sb 0.000 0.000 0.646
Sb 0.000 0.500 0.146
Sb 0.000 0.500 0.830
Sb 0.500 0.000 0.146
Sb 0.500 0.000 0.459
Sb 0.500 0.500 0.646
Sb 0.500 0.500 0.959


10.
A geometry-optimized HoAlRe structure, computed with PBE.

The polymorph energy (0 for the lowest one) is 799 meV per atom. The space-group type is F-43m.

a b c (Å): 6.569 6.569 6.569
angles (deg): 90.00 90.00 90.00
Fractional coordinates of all 12 atoms:
Ho 0.000 0.000 0.000
Ho 0.000 0.500 0.500
Ho 0.500 0.000 0.500
Ho 0.500 0.500 0.000
Al 0.250 0.250 0.750
Al 0.250 0.750 0.250
Al 0.750 0.250 0.250
Al 0.750 0.750 0.750
Re 0.250 0.250 0.250
Re 0.250 0.750 0.750
Re 0.750 0.250 0.750
Re 0.750 0.750 0.250


11.
A geometry-optimized NaDyCoSe3 structure, computed with PBE.

The polymorph energy (0 for the lowest one) is 58 meV per atom. The space-group type is Pnma.

a b c (Å): 11.189 4.073 11.951
angles (deg): 90.00 90.00 90.00
Fractional coordinates of all 24 atoms:
Na 0.178 0.250 0.004
Na 0.322 0.750 0.504
Na 0.678 0.250 0.496
Na 0.822 0.750 0.996
Dy 0.019 0.250 0.315
Dy 0.481 0.750 0.815
Dy 0.519 0.250 0.185
Dy 0.981 0.750 0.685
Co 0.249 0.250 0.714
Co 0.251 0.750 0.214
Co 0.749 0.250 0.786
Co 0.751 0.750 0.286
Se 0.052 0.750 0.148
Se 0.109 0.250 0.563
Se 0.217 0.750 0.813
Se 0.283 0.250 0.313
Se 0.391 0.750 0.063
Se 0.448 0.250 0.648
Se 0.552 0.750 0.352
Se 0.609 0.250 0.937
Se 0.717 0.750 0.687
Se 0.783 0.250 0.187
Se 0.891 0.750 0.437
Se 0.948 0.250 0.852


12.
A geometry-optimized NaNdY structure, computed with PBE.

The polymorph energy (0 for the lowest one) is 0 meV per atom. The space-group type is F-43m.

a b c (Å): 7.610 7.610 7.610
angles (deg): 90.00 90.00 90.00
Fractional coordinates of all 12 atoms:
Na 0.000 0.000 0.000
Na 0.000 0.500 0.500
Na 0.500 0.000 0.500
Na 0.500 0.500 0.000
Nd 0.250 0.250 0.750
Nd 0.250 0.750 0.250
Nd 0.750 0.250 0.250
Nd 0.750 0.750 0.750
Y 0.250 0.250 0.250
Y 0.250 0.750 0.750
Y 0.750 0.250 0.750
Y 0.750 0.750 0.250


Number 1: uncorrected energy -2.67 eV/atom. Number 2: uncorrected energy -4.46 eV/atom. Number 3: uncorrected energy -3.50 eV/atom. Number 4: uncorrected energy -4.43 eV/atom. Number 5: uncorrected energy -4.55 eV/atom. Number 6: uncorrected energy -3.96 eV/atom. Number 7: uncorrected energy -6.96 eV/atom. Number 8: uncorrected energy -4.51 eV/atom. Number 9: uncorrected energy -5.20 eV/atom. Number 10: uncorrected energy -5.68 eV/atom. Number 11: uncorrected energy -4.96 eV/atom. Number 12: uncorrected energy -3.42 eV/atom.